[1]
A relaxed structure of Li3U3PaTe8. Source: Alexandria via LeMat-Bulk, functional GGA-PBE.

Cell lengths 8.741, 8.741, 8.741 Å; angles 58.60, 58.60, 58.60 degrees
Sites, in units of the cell vectors:
Li (0.000, 0.500, 0.500)
Li (0.500, 0.000, 0.500)
Li (0.500, 0.500, 0.000)
U (0.000, 0.000, 0.500)
U (0.000, 0.500, 0.000)
U (0.500, 0.000, 0.000)
Pa (0.500, 0.500, 0.500)
Te (0.247, 0.247, 0.746)
Te (0.247, 0.746, 0.247)
Te (0.254, 0.254, 0.254)
Te (0.254, 0.753, 0.753)
Te (0.746, 0.247, 0.247)
Te (0.746, 0.746, 0.746)
Te (0.753, 0.254, 0.753)
Te (0.753, 0.753, 0.254)

Results
Electronic total energy (eV per atom): -5.72

[2]
A relaxed structure of Li3Y2PaTe6. Source: Alexandria via LeMat-Bulk, functional GGA-PBE.

Cell lengths 7.466, 7.466, 7.547 Å; angles 99.49, 99.49, 120.00 degrees
Sites, in units of the cell vectors:
Li (0.000, 0.000, 0.000)
Li (0.332, 0.668, 0.000)
Li (0.668, 0.332, 0.000)
Y (0.167, 0.833, 0.500)
Y (0.833, 0.167, 0.500)
Pa (0.500, 0.500, 0.500)
Te (0.080, 0.414, 0.240)
Te (0.253, 0.253, 0.759)
Te (0.414, 0.080, 0.240)
Te (0.586, 0.920, 0.760)
Te (0.747, 0.747, 0.241)
Te (0.920, 0.586, 0.760)

Results
Electronic total energy (eV per atom): -5.05

[3]
A relaxed structure of Li3Y3PaTe8. Source: Alexandria via LeMat-Bulk, functional GGA-PBE.

Cell lengths 8.678, 8.678, 8.678 Å; angles 60.20, 60.20, 60.20 degrees
Sites, in units of the cell vectors:
Li (0.000, 0.500, 0.500)
Li (0.500, 0.000, 0.500)
Li (0.500, 0.500, 0.000)
Y (0.000, 0.000, 0.500)
Y (0.000, 0.500, 0.000)
Y (0.500, 0.000, 0.000)
Pa (0.500, 0.500, 0.500)
Te (0.249, 0.249, 0.749)
Te (0.249, 0.749, 0.249)
Te (0.251, 0.751, 0.751)
Te (0.252, 0.252, 0.252)
Te (0.748, 0.748, 0.748)
Te (0.749, 0.249, 0.249)
Te (0.751, 0.251, 0.751)
Te (0.751, 0.751, 0.251)

Results
Electronic total energy (eV per atom): -5.18

[4]
A relaxed structure of Li3YPa2Te6. Source: Alexandria via LeMat-Bulk, functional GGA-PBE.

Cell lengths 7.389, 7.389, 7.651 Å; angles 99.27, 99.27, 120.01 degrees
Sites, in units of the cell vectors:
Li (0.000, 0.000, 0.000)
Li (0.335, 0.665, 0.000)
Li (0.665, 0.335, 0.000)
Y (0.500, 0.500, 0.500)
Pa (0.167, 0.833, 0.500)
Pa (0.833, 0.167, 0.500)
Te (0.081, 0.412, 0.238)
Te (0.255, 0.255, 0.761)
Te (0.412, 0.081, 0.238)
Te (0.588, 0.919, 0.762)
Te (0.745, 0.745, 0.239)
Te (0.919, 0.588, 0.762)

Results
Electronic total energy (eV per atom): -5.15

[5]
A relaxed structure of Li3Zr2PaTe6. Source: Alexandria via LeMat-Bulk, functional GGA-PBE.

Cell lengths 7.023, 7.023, 7.705 Å; angles 98.71, 98.71, 120.07 degrees
Sites, in units of the cell vectors:
Li (0.000, 0.000, 0.000)
Li (0.336, 0.664, 0.000)
Li (0.664, 0.336, 0.000)
Zr (0.168, 0.832, 0.500)
Zr (0.832, 0.168, 0.500)
Pa (0.500, 0.500, 0.500)
Te (0.072, 0.415, 0.244)
Te (0.242, 0.242, 0.755)
Te (0.415, 0.072, 0.244)
Te (0.585, 0.928, 0.756)
Te (0.758, 0.758, 0.245)
Te (0.928, 0.585, 0.756)

Results
Electronic total energy (eV per atom): -5.17

[6]
A relaxed structure of LiTh2Pa. Source: Alexandria via LeMat-Bulk, functional GGA-PBE.

Cell lengths 12.565, 12.565, 12.565 Å; angles 15.22, 15.22, 15.22 degrees
Sites, in units of the cell vectors:
Li (0.000, 0.000, 0.000)
Th (0.088, 0.088, 0.088)
Th (0.912, 0.912, 0.912)
Pa (0.500, 0.500, 0.500)

Results
Formation energy (meV per atom): 297
Electronic total energy (eV per atom): -6.27
Distance to the lowest polymorph of the same formula (kJ/mol of formula units): 48

- The highest electronic total energy belongs to which entry?
  Li3Y2PaTe6